# Rb2Co3F8, relaxed, DFT PBE with a Hubbard U
# **Total energy**: -4.816 eV per atom
# **Calculated volume**: 443.50 Å³/cell
# **D(E_F)**: 0.0 states/eV/cell
# **Spin magnetization**: 0.692 μB per atom
data_Rb2Co3F8
_chemical_formula_sum 'Rb4 Co6 F16'
_cell_length_a 13.1562
_cell_length_b 6.4575
_cell_length_c 5.5303
_cell_angle_alpha 90.00
_cell_angle_beta 109.27
_cell_angle_gamma 90.00
_space_group_name_H-M_alt 'C 1 2/m 1'
_space_group_IT_number 12
_space_group_name_Hall '-C 2y'
loop_
_atom_site_label
_atom_site_fract_x
_atom_site_fract_y
_atom_site_fract_z
_atom_site_occupancy
Rb1 0.2230 0.0000 0.1779 1
Co1 0.0000 0.2426 0.5000 1
Co2 0.0000 0.5000 0.0000 1
F1 0.0857 0.2851 0.8766 1
F2 0.0872 0.5000 0.4003 1
F3 0.0978 0.0000 0.4798 1